VASP calculation (PBE) on a relaxed TcIr2Se crystal.

a = 5.3214 Å, b = 5.3214 Å, c = 5.3214 Å
α = 148.20°, β = 130.16°, γ = 60.35°
Closest atoms and distances in Å follow each position.
Sites, in units of the cell vectors:
Tc: 0.0000 0.0000 0.0000  4 Se 2.67, 4 Ir 2.87, 2 Tc 2.92
Ir: 0.2691 0.7691 0.5000  2 Se 2.58, 4 Ir 2.70, 2 Tc 2.87
Ir: 0.7309 0.2309 0.5000  2 Se 2.58, 4 Ir 2.70, 2 Tc 2.87
Se: 0.5000 0.5000 0.0000  4 Ir 2.58, 4 Tc 2.67

Fermi-level density of states in states/eV/f.u.: 4.286
Total moment in μB/atom: 0.00
Formation energy without anion corrections in eV per atom: 0.34
Uncorrected energy in eV/atom: -7.557